No. 1
Density functional theory data (PBE) for an optimized crystal structure of AcFeBi.

offset from the most stable computed form	0.6618	eV/atom
density	7.498	g/cm³
uncorrected energy	-4.894	eV per atom
total magnetic moment	3.3	μB/cell
space-group type	No. 216

```
3
Lattice="0.0000 3.7905 3.7905 3.7905 0.0000 3.7905 3.7905 3.7905 0.0000" Properties=species:S:1:pos:R:3 pbc="T T T"
Ac 0.0000 0.0000 0.0000
Fe 5.6858 5.6858 5.6858
Bi 1.8953 1.8953 1.8953
```

No. 2
Density functional theory data (PBE) for an optimized crystal structure of Li3CuF6.

density	3.257	g/cm³
uncorrected energy	-4.138	eV per atom
space-group type	No. 225

```
10
Lattice="-0.8369 -2.4050 4.5680 -4.8796 -1.1289 1.5055 -1.6285 -4.9692 0.0792" Properties=species:S:1:pos:R:3 pbc="T T T"
Li -5.5087 -6.3774 4.6144
F -2.2636 -3.3341 3.8175
Li -3.6725 -4.2516 3.0763
F -4.2722 -2.7001 2.2958
F -2.6569 -4.6081 1.5871
Cu 0.0000 0.0000 0.0000
F -4.6880 -3.8950 4.5654
F -5.0814 -5.1690 2.3351
F -3.0727 -5.8031 3.8568
Li -1.8362 -2.1258 1.5381
```